## one
Here is a relaxed AcScAg2 crystal from Alexandria via LeMat-Bulk. Energies are from PBE-GGA.

Output
As for the volume: 26.24 A^3/atom. The space group is Fm-3m (225).

Lattice parameters (Å, degrees): 5.2947 5.2947 5.2947 60.00 60.00 60.00
Positions (direct):
Ac  0.0000  0.0000  0.0000
Sc  0.5000  0.5000  0.5000
Ag  0.2500  0.2500  0.2500
Ag  0.7500  0.7500  0.7500

---

## two
Here is a relaxed AcScAg2 crystal from Alexandria via LeMat-Bulk. Energies are from PBE-GGA.

Output
As for the volume: 27.11 A^3/atom. The space group is R-3m (166).

Lattice parameters (Å, degrees): 5.9056 5.9056 5.9056 49.21 49.21 49.21
Positions (direct):
Ac  0.0000  0.0000  0.0000
Sc  0.5000  0.5000  0.5000
Ag  0.2078  0.2078  0.2078
Ag  0.7922  0.7922  0.7922

---

Name the least stable of them. one.

---

## one
Here is a relaxed AcSc2Ag crystal from Alexandria via LeMat-Bulk. Energies are from PBE-GGA.

Output
As for the volume: 28.15 A^3/atom. The space group is R3m (160).

Lattice parameters (Å, degrees): 10.1169 10.1169 10.1169 20.64 20.64 20.64
Positions (direct):
Ac  0.0000  0.0000  0.0000
Sc  0.5655  0.5655  0.5655
Sc  0.7645  0.7645  0.7645
Ag  0.1646  0.1646  0.1646

---

## two
Here is a relaxed AcSc2Ag crystal from Alexandria via LeMat-Bulk. Energies are from PBE-GGA.

Output
As for the volume: 29.58 A^3/atom. The space group is R-3m (166).

Lattice parameters (Å, degrees): 6.4992 6.4992 6.4992 43.56 43.56 43.56
Positions (direct):
Ac  0.0000  0.0000  0.0000
Sc  0.2094  0.2094  0.2094
Sc  0.7906  0.7906  0.7906
Ag  0.5000  0.5000  0.5000

---

Name the least stable of them. two.

---

## one
Here is a relaxed AcSc2Ag crystal from Alexandria via LeMat-Bulk. Energies are from PBE-GGA.

Output
As for the volume: 26.16 A^3/atom. The space group is P4/mmm (123).

Lattice parameters (Å, degrees): 5.3087 5.3087 3.7131 90.00 90.00 90.00
Positions (direct):
Ac  0.0000  0.0000  0.0000
Sc  0.0000  0.5000  0.5000
Sc  0.5000  0.0000  0.5000
Ag  0.5000  0.5000  0.0000

---

## two
Here is a relaxed AcSc2Ag crystal from Alexandria via LeMat-Bulk. Energies are from PBE-GGA.

Output
As for the volume: 26.57 A^3/atom. The space group is P4/mmm (123).

Lattice parameters (Å, degrees): 3.5904 3.5904 8.2445 90.00 90.00 90.00
Positions (direct):
Ac  0.0000  0.0000  0.0000
Sc  0.5000  0.5000  0.3064
Sc  0.5000  0.5000  0.6936
Ag  0.0000  0.0000  0.5000

---

Name the least stable of them. one.

---

## one
Here is a relaxed Ac2AgSe crystal from Alexandria via LeMat-Bulk. Energies are from PBE-GGA.

Output
As for the volume: 29.93 A^3/atom. The space group is P4/mmm (123).

Lattice parameters (Å, degrees): 3.8864 3.8864 7.9269 90.00 90.00 90.00
Positions (direct):
Ac  0.0000  0.0000  0.2446
Ac  0.0000  0.0000  0.7554
Ag  0.5000  0.5000  0.5000
Se  0.5000  0.5000  0.0000

---

## two
Here is a relaxed Ac2AgSe crystal from Alexandria via LeMat-Bulk. Energies are from PBE-GGA.

Output
As for the volume: 33.65 A^3/atom. The space group is R3m (160).

Lattice parameters (Å, degrees): 8.6305 8.6305 8.6305 29.11 29.11 29.11
Positions (direct):
Ac  0.0000  0.0000  0.0000
Ac  0.1745  0.1745  0.1745
Ag  0.4200  0.4200  0.4200
Se  0.5888  0.5888  0.5888

---

## three
Here is a relaxed Ac2AgSe crystal from Alexandria via LeMat-Bulk. Energies are from PBE-GGA.

Output
As for the volume: 33.76 A^3/atom. The space group is R-3m (166).

Lattice parameters (Å, degrees): 8.2276 8.2276 8.2276 31.51 31.51 31.51
Positions (direct):
Ac  0.2478  0.2478  0.2478
Ac  0.7522  0.7522  0.7522
Ag  0.0000  0.0000  0.0000
Se  0.5000  0.5000  0.5000

---

Name the least stable of them. one.

---

## one
Here is a relaxed Ac3Si4Ag4 crystal from Alexandria via LeMat-Bulk. Energies are from PBE-GGA.

Output
As for the volume: 23.27 A^3/atom. The space group is Immm (71).

Lattice parameters (Å, degrees): 8.7515 8.7515 8.7515 149.33 131.00 58.92
Positions (direct):
Ac  0.0000  0.0000  0.0000
Ac  0.3683  0.8683  0.5000
Ac  0.6317  0.1317  0.5000
Si  0.2159  0.2159  0.0000
Si  0.3302  0.5000  0.8302
Si  0.6698  0.5000  0.1698
Si  0.7841  0.7841  0.0000
Ag  0.0272  0.3358  0.6915
Ag  0.3557  0.6642  0.6915
Ag  0.6443  0.3358  0.3085
Ag  0.9728  0.6642  0.3085

---

## two
Here is a relaxed Ac3Si4Ag4 crystal from Alexandria via LeMat-Bulk. Energies are from PBE-GGA.

Output
As for the volume: 23.67 A^3/atom. The space group is P-1 (2).

Lattice parameters (Å, degrees): 4.4733 4.4988 13.3178 99.70 99.66 90.00
Positions (direct):
Ac  0.0000  0.0000  0.0000
Ac  0.3501  0.8498  0.7007
Ac  0.6499  0.1502  0.2993
Si  0.1942  0.6938  0.3873
Si  0.4533  0.4539  0.9065
Si  0.5467  0.5461  0.0935
Si  0.8058  0.3062  0.6127
Ag  0.0953  0.5954  0.1908
Ag  0.2494  0.2501  0.4998
Ag  0.7506  0.7499  0.5002
Ag  0.9047  0.4046  0.8092

---

Name the least stable of them. one.

---

## one
Here is a relaxed AcSm2Ag crystal from Alexandria via LeMat-Bulk. Energies are from PBE-GGA.

Output
As for the volume: 32.85 A^3/atom. The space group is Cmcm (63).

Lattice parameters (Å, degrees): 6.6557 6.6557 8.2610 90.00 90.00 134.10
Positions (direct):
Ac  0.0544  0.9456  0.7500
Ac  0.9456  0.0544  0.2500
Sm  0.3546  0.6454  0.5368
Sm  0.3546  0.6454  0.9632
Sm  0.6454  0.3546  0.0368
Sm  0.6454  0.3546  0.4632
Ag  0.2089  0.7911  0.2500
Ag  0.7911  0.2089  0.7500

---

## two
Here is a relaxed AcSm2Ag crystal from Alexandria via LeMat-Bulk. Energies are from PBE-GGA.

Output
As for the volume: 31.32 A^3/atom. The space group is P4/mmm (123).

Lattice parameters (Å, degrees): 5.7339 5.7339 3.8104 90.00 90.00 90.00
Positions (direct):
Ac  0.0000  0.0000  0.0000
Sm  0.0000  0.5000  0.5000
Sm  0.5000  0.0000  0.5000
Ag  0.5000  0.5000  0.0000

---

Name the least stable of them. two.